Entry from Alexandria: an optimized crystal structure of Pu2Be4CoSi3 (PBE).

* formation energy (no corrections): -0.3102 eV/atom

Lattice parameters (Å, degrees): 3.844 3.844 9.401 90.00 90.00 90.00
Space group P-4m2 (No. 115)
Symmetry-distinct sites (fractional):
Pu  0.000  0.500  0.243 x2
Be  0.000  0.000  0.500 x1
Be  0.000  0.500  0.876 x2
Be  0.500  0.500  0.500 x1
Co  0.500  0.500  0.000 x1
Si  0.000  0.000  0.000 x1
Si  0.000  0.500  0.636 x2